[1]
# LiBeCr3 (PBE, relaxed)
data_LiBeCr3
_chemical_formula_sum 'Li1 Be1 Cr3'
_symmetry_space_group_name_H-M 'P m -3 m'
_symmetry_Int_Tables_number 221
_symmetry_space_group_name_Hall '-P 4 2 3'
_cell_length_a 3.994
_cell_length_b 3.994
_cell_length_c 3.994
_cell_angle_alpha 90.00
_cell_angle_beta 90.00
_cell_angle_gamma 90.00
loop_
_atom_site_label
_atom_site_type_symbol
_atom_site_fract_x
_atom_site_fract_y
_atom_site_fract_z
Li1 Li 0.000 0.000 0.000
Be1 Be 0.500 0.500 0.500
Cr1 Cr 0.000 0.500 0.500
# Total moment, μB per formula unit: 0.89
# Energy relative to the elements, eV/atom: 1.095
# Energy above the lowest structure with this stoichiometry, kJ/mol of atoms: 0.0

[2]
# PaZnIr (PBE, relaxed)
data_PaZnIr
_chemical_formula_sum 'Pa1 Zn1 Ir1'
_symmetry_space_group_name_H-M 'P -6 m 2'
_symmetry_Int_Tables_number 187
_symmetry_space_group_name_Hall 'P -6 2'
_cell_length_a 4.5415
_cell_length_b 4.5415
_cell_length_c 3.1316
_cell_angle_alpha 90.00
_cell_angle_beta 90.00
_cell_angle_gamma 120.00
loop_
_atom_site_label
_atom_site_type_symbol
_atom_site_fract_x
_atom_site_fract_y
_atom_site_fract_z
Pa1 Pa 0.0000 0.0000 0.0000
Zn1 Zn 0.6667 0.3333 0.5000
Ir1 Ir 0.3333 0.6667 0.5000
# Total moment, μB per formula unit: 0.00
# Energy relative to the elements, eV/atom: -0.514

[3]
# Tb5PuMg4 (PBE, relaxed)
data_Tb5PuMg4
_chemical_formula_sum 'Tb5 Pu1 Mg4'
_symmetry_space_group_name_H-M 'P 4/m m m'
_symmetry_Int_Tables_number 123
_symmetry_space_group_name_Hall '-P 4 2'
_cell_length_a 3.725
_cell_length_b 3.725
_cell_length_c 20.171
_cell_angle_alpha 90.00
_cell_angle_beta 90.00
_cell_angle_gamma 90.00
loop_
_atom_site_label
_atom_site_type_symbol
_atom_site_fract_x
_atom_site_fract_y
_atom_site_fract_z
Tb1 Tb 0.000 0.000 0.000
Tb2 Tb 0.000 0.000 0.192
Tb3 Tb 0.000 0.000 0.388
Pu1 Pu 0.500 0.500 0.500
Mg1 Mg 0.500 0.500 0.096
Mg2 Mg 0.500 0.500 0.290
# Total moment, μB per formula unit: 6.72
# Energy relative to the elements, eV/atom: -0.017

[4]
# Be2AgP (PBE, relaxed)
data_Be2AgP
_chemical_formula_sum 'Be2 Ag1 P1'
_symmetry_space_group_name_H-M 'P 1 m 1'
_symmetry_Int_Tables_number 6
_symmetry_space_group_name_Hall 'P -2y'
_cell_length_a 3.460
_cell_length_b 3.520
_cell_length_c 5.216
_cell_angle_alpha 90.00
_cell_angle_beta 109.08
_cell_angle_gamma 90.00
loop_
_atom_site_label
_atom_site_type_symbol
_atom_site_fract_x
_atom_site_fract_y
_atom_site_fract_z
Be1 Be 0.000 0.000 0.000
Be2 Be 0.495 0.500 0.988
Ag1 Ag 0.175 0.500 0.354
P1 P 0.378 0.000 0.753
# Total moment, μB per formula unit: 0.00
# Energy relative to the elements, eV/atom: 0.037

[5]
# Tb4C2Br3 (PBE, relaxed)
data_Tb4C2Br3
_chemical_formula_sum 'Tb8 C4 Br6'
_symmetry_space_group_name_H-M 'C 1 2/m 1'
_symmetry_Int_Tables_number 12
_symmetry_space_group_name_Hall '-C 2y'
_cell_length_a 14.351
_cell_length_b 3.571
_cell_length_c 8.629
_cell_angle_alpha 90.00
_cell_angle_beta 102.54
_cell_angle_gamma 90.00
loop_
_atom_site_label
_atom_site_type_symbol
_atom_site_fract_x
_atom_site_fract_y
_atom_site_fract_z
Tb1 Tb 0.097 0.000 0.208
Tb2 Tb 0.183 0.500 0.600
C1 C 0.196 0.500 0.330
Br1 Br 0.000 0.000 0.500
Br2 Br 0.091 0.500 0.898
# Total moment, μB per formula unit: 0.00
# Formation energy without anion corrections, kJ/mol of formula units: -836.8
# Energy above the lowest structure with this stoichiometry, kJ/mol of atoms: 17.9

[6]
# Si2NiP3 (PBE, relaxed)
data_Si2NiP3
_chemical_formula_sum 'Si4 Ni2 P6'
_symmetry_space_group_name_H-M 'I m m 2'
_symmetry_Int_Tables_number 44
_symmetry_space_group_name_Hall 'I 2 -2'
_cell_length_a 3.529
_cell_length_b 11.148
_cell_length_c 5.326
_cell_angle_alpha 90.00
_cell_angle_beta 90.00
_cell_angle_gamma 90.00
loop_
_atom_site_label
_atom_site_type_symbol
_atom_site_fract_x
_atom_site_fract_y
_atom_site_fract_z
Si1 Si 0.000 0.165 0.000
Ni1 Ni 0.000 0.500 0.990
P1 P 0.000 0.000 0.248
P2 P 0.000 0.338 0.231
# Total moment, μB per formula unit: 0.00
# Formation energy without anion corrections, kJ/mol of formula units: -155.5

[7]
# BaHg2Mo (PBE, relaxed)
data_BaHg2Mo
_chemical_formula_sum 'Ba2 Hg4 Mo2'
_symmetry_space_group_name_H-M 'I -4 m 2'
_symmetry_Int_Tables_number 119
_symmetry_space_group_name_Hall 'I -4 -2'
_cell_length_a 4.944
_cell_length_b 4.944
_cell_length_c 9.301
_cell_angle_alpha 90.00
_cell_angle_beta 90.00
_cell_angle_gamma 90.00
loop_
_atom_site_label
_atom_site_type_symbol
_atom_site_fract_x
_atom_site_fract_y
_atom_site_fract_z
Ba1 Ba 0.000 0.000 0.000
Hg1 Hg 0.000 0.000 0.500
Hg2 Hg 0.000 0.500 0.750
Mo1 Mo 0.000 0.500 0.250
# Total moment, μB per formula unit: 3.94
# Energy relative to the elements, eV/atom: 0.639
# Energy above the lowest structure with this stoichiometry, kJ/mol of atoms: 26.5

[8]
# Tb2Tm5Th5 (PBE, relaxed)
data_Tb2Tm5Th5
_chemical_formula_sum 'Tb4 Tm10 Th10'
_symmetry_space_group_name_H-M 'C 1 2/m 1'
_symmetry_Int_Tables_number 12
_symmetry_space_group_name_Hall '-C 2y'
_cell_length_a 15.013
_cell_length_b 5.002
_cell_length_c 11.231
_cell_angle_alpha 90.00
_cell_angle_beta 116.55
_cell_angle_gamma 90.00
loop_
_atom_site_label
_atom_site_type_symbol
_atom_site_fract_x
_atom_site_fract_y
_atom_site_fract_z
Tb1 Tb 0.083 0.000 0.250
Tm1 Tm 0.000 0.500 0.000
Tm2 Tm 0.084 0.500 0.748
Tm3 Tm 0.168 0.500 0.504
Th1 Th 0.000 0.000 0.500
Th2 Th 0.169 0.000 0.002
Th3 Th 0.249 0.000 0.752
# Total moment, μB per formula unit: 0.00
# Energy relative to the elements, eV/atom: 0.041

[9]
# Cr2SbTe2 (PBE, relaxed)
data_Cr2SbTe2
_chemical_formula_sum 'Cr4 Sb2 Te4'
_symmetry_space_group_name_H-M 'P 4/m b m'
_symmetry_Int_Tables_number 127
_symmetry_space_group_name_Hall '-P 4 2ab'
_cell_length_a 8.268
_cell_length_b 8.268
_cell_length_c 3.583
_cell_angle_alpha 90.00
_cell_angle_beta 90.00
_cell_angle_gamma 90.00
loop_
_atom_site_label
_atom_site_type_symbol
_atom_site_fract_x
_atom_site_fract_y
_atom_site_fract_z
Cr1 Cr 0.138 0.362 0.000
Sb1 Sb 0.000 0.000 0.500
Te1 Te 0.159 0.659 0.500
# Total moment, μB per formula unit: 8.36
# Formation energy without anion corrections, kJ/mol of formula units: 186.5
# Energy above the lowest structure with this stoichiometry, kJ/mol of atoms: 7.9

[10]
# Ba2PaBO6 (PBE, relaxed)
data_Ba2PaBO6
_chemical_formula_sum 'Ba2 Pa1 B1 O6'
_symmetry_space_group_name_H-M 'P -3 m 1'
_symmetry_Int_Tables_number 164
_symmetry_space_group_name_Hall '-P 3 2"'
_cell_length_a 5.9516
_cell_length_b 5.9516
_cell_length_c 5.2794
_cell_angle_alpha 90.00
_cell_angle_beta 90.00
_cell_angle_gamma 120.00
loop_
_atom_site_label
_atom_site_type_symbol
_atom_site_fract_x
_atom_site_fract_y
_atom_site_fract_z
Ba1 Ba 0.3333 0.6667 0.1462
Pa1 Pa 0.0000 0.0000 0.5000
B1 B 0.0000 0.0000 0.0000
O1 O 0.1439 0.2878 0.8002
# Total moment, μB per formula unit: 0.00
# Formation energy without anion corrections, kJ/mol of formula units: -2427.6

[11]
# Er2Be3GaPt4 (PBE, relaxed)
data_Er2Be3GaPt4
_chemical_formula_sum 'Er2 Be3 Ga1 Pt4'
_symmetry_space_group_name_H-M 'P -4 m 2'
_symmetry_Int_Tables_number 115
_symmetry_space_group_name_Hall 'P -4 -2'
_cell_length_a 4.030
_cell_length_b 4.030
_cell_length_c 9.853
_cell_angle_alpha 90.00
_cell_angle_beta 90.00
_cell_angle_gamma 90.00
loop_
_atom_site_label
_atom_site_type_symbol
_atom_site_fract_x
_atom_site_fract_y
_atom_site_fract_z
Er1 Er 0.000 0.500 0.241
Be1 Be 0.000 0.500 0.881
Be2 Be 0.500 0.500 0.500
Ga1 Ga 0.000 0.000 0.500
Pt1 Pt 0.000 0.000 0.000
Pt2 Pt 0.000 0.500 0.648
Pt3 Pt 0.500 0.500 0.000
# Total moment, μB per formula unit: 0.00
# Energy relative to the elements, eV/atom: -0.936

[12]
# TaTiP2 (PBE, relaxed)
data_TaTiP2
_chemical_formula_sum 'Ta3 Ti3 P6'
_symmetry_space_group_name_H-M 'R -3 m'
_symmetry_Int_Tables_number 166
_symmetry_space_group_name_Hall '-R 3 2"'
_cell_length_a 3.5524
_cell_length_b 3.5524
_cell_length_c 17.3916
_cell_angle_alpha 90.00
_cell_angle_beta 90.00
_cell_angle_gamma 120.00
loop_
_atom_site_label
_atom_site_type_symbol
_atom_site_fract_x
_atom_site_fract_y
_atom_site_fract_z
Ta1 Ta 0.0000 0.0000 0.0000
Ti1 Ti 0.0000 0.0000 0.5000
P1 P 0.0000 0.0000 0.2480
# Total moment, μB per formula unit: 0.00
# Energy relative to the elements, eV/atom: -0.793
# Energy above the lowest structure with this stoichiometry, kJ/mol of atoms: 17.2

[13]
# CeScGaOs (PBE, relaxed)
data_CeScGaOs
_chemical_formula_sum 'Ce4 Sc4 Ga4 Os4'
_symmetry_space_group_name_H-M 'F -4 3 m'
_symmetry_Int_Tables_number 216
_symmetry_space_group_name_Hall 'F -4 2 3'
_cell_length_a 6.845
_cell_length_b 6.845
_cell_length_c 6.845
_cell_angle_alpha 90.00
_cell_angle_beta 90.00
_cell_angle_gamma 90.00
loop_
_atom_site_label
_atom_site_type_symbol
_atom_site_fract_x
_atom_site_fract_y
_atom_site_fract_z
Ce1 Ce 0.000 0.000 0.000
Sc1 Sc 0.000 0.000 0.500
Ga1 Ga 0.250 0.250 0.750
Os1 Os 0.250 0.250 0.250
# Total moment, μB per formula unit: 0.00
# Energy relative to the elements, eV/atom: -0.329

Volume
In order: 63.69; 55.94; 279.84; 60.03; 215.84; 104.76; 113.68; 377.18; 122.48; 161.95; 160.00; 63.36; 80.17
Unit: Å³/f.u.